An optimized crystal structure of Na2SbF, computed with PBE.

Energy relative to the elements, uncorrected: -0.71 eV per atom
E: -2.87 eV per atom
D(E_F): 0.209 states/eV/atom
Energy relative to the lowest polymorph listed for this composition: 745.4 meV per atom

a = 7.290 Å, b = 7.290 Å, c = 7.290 Å
α = 90.00°, β = 90.00°, γ = 90.00°
Space group Fm-3m (No. 225)
Inequivalent atoms, fractional coordinates:
Na 0.250 0.250 0.250
Sb 0.000 0.000 0.000
F 0.000 0.000 0.500